[1]
# TlTePt2

A geometry-optimized TlTePt2 structure (PBE-GGA, Alexandria via LeMat-Bulk).

Excess energy over the best structure of this formula in the dataset, eV/atom: 0.114
Density of states at the Fermi level, states/eV/f.u.: 1.8
Calculated density, g cm⁻³: 12.0
Formation energy without anion corrections, eV per formula unit: 0.06
Final energy, eV for the cell shown: -35.055
Space-group type: I-42d

abc: 8.8988 8.8988 8.8988
angles: 147.82 147.82 46.15
With the nearest neighbours (Å) after each atom.
Element x y z (fractional)
Tl (0.0000, 0.0000, 0.0000)  4 Pt 2.83
Tl (0.7500, 0.2500, 0.5000)  4 Pt 2.83
Te (0.2500, 0.7500, 0.5000)  4 Pt 2.57
Te (0.5000, 0.5000, 0.0000)  4 Pt 2.57
Pt (0.1834, 0.6250, 0.0584)  2 Te 2.57, 2 Tl 2.83
Pt (0.3750, 0.4334, 0.5584)  2 Te 2.57, 2 Tl 2.83
Pt (0.5666, 0.1250, 0.9416)  2 Te 2.57, 2 Tl 2.83
Pt (0.8750, 0.8166, 0.4416)  2 Te 2.57, 2 Tl 2.83

=====

[2]
# TlTe2Pt

A geometry-optimized TlTe2Pt structure (PBE-GGA, Alexandria via LeMat-Bulk).

Excess energy over the best structure of this formula in the dataset, eV/atom: 0.301
Density of states at the Fermi level, states/eV/f.u.: 1.8
Calculated density, g cm⁻³: 10.4
Formation energy without anion corrections, eV per formula unit: 0.03
Final energy, eV for the cell shown: -14.657
Space-group type: P2/m

abc: 4.2074 4.2180 5.9068
angles: 90.00 90.29 90.00
With the nearest neighbours (Å) after each atom.
Element x y z (fractional)
Tl (0.0000, 0.0000, 0.0000)  6 Te 2.95-2.98
Te (0.0000, 0.0000, 0.5000)  2 Tl 2.95, 4 Pt 2.98
Te (0.5000, 0.5000, 0.0000)  2 Pt 2.95, 4 Tl 2.98
Pt (0.5000, 0.5000, 0.5000)  6 Te 2.95-2.98

=====

[3]
# TlTe2Pt

A geometry-optimized TlTe2Pt structure (PBE-GGA, Alexandria via LeMat-Bulk).

Excess energy over the best structure of this formula in the dataset, eV/atom: 0.103
Density of states at the Fermi level, states/eV/f.u.: 2.9
Calculated density, g cm⁻³: 8.9
Formation energy without anion corrections, eV per formula unit: -0.76
Final energy, eV for the cell shown: -15.450
Space-group type: C2/m

abc: 6.1302 6.1302 6.1113
angles: 116.17 116.17 37.09
With the nearest neighbours (Å) after each atom.
Element x y z (fractional)
Tl (0.0000, 0.0000, 0.0000)  4 Te 3.49-3.57, 4 Pt 3.62, 2 Tl 3.90
Te (0.1725, 0.1725, 0.6449)  2 Pt 2.64
Te (0.8275, 0.8275, 0.3551)  2 Pt 2.64
Pt (0.5000, 0.5000, 0.5000)  4 Te 2.64

=====

[4]
# TlTePt2

A geometry-optimized TlTePt2 structure (PBE-GGA, Alexandria via LeMat-Bulk).

Excess energy over the best structure of this formula in the dataset, eV/atom: 0.471
Density of states at the Fermi level, states/eV/f.u.: 4.0
Calculated density, g cm⁻³: 14.6
Formation energy without anion corrections, eV per formula unit: 1.49
Final energy, eV for the cell shown: -16.099
Space-group type: F-43m

abc: 4.8837 4.8837 4.8837
angles: 60.00 60.00 60.00
With the nearest neighbours (Å) after each atom.
Element x y z (fractional)
Tl (0.0000, 0.0000, 0.0000)  4 Te 2.99, 4 Pt 2.99
Te (0.2500, 0.2500, 0.2500)  4 Tl 2.99, 4 Pt 2.99
Pt (0.5000, 0.5000, 0.5000)  4 Te 2.99, 4 Pt 2.99
Pt (0.7500, 0.7500, 0.7500)  4 Pt 2.99, 4 Tl 2.99

=====

[5]
# TlTe2Pt

A geometry-optimized TlTe2Pt structure (PBE-GGA, Alexandria via LeMat-Bulk).

Excess energy over the best structure of this formula in the dataset, eV/atom: 0.005
Density of states at the Fermi level, states/eV/f.u.: 3.1
Calculated density, g cm⁻³: 9.4
Formation energy without anion corrections, eV per formula unit: -1.15
Final energy, eV for the cell shown: -15.842
Space-group type: R3m

abc: 8.3683 8.3683 8.3683
angles: 28.13 28.13 28.13
With the nearest neighbours (Å) after each atom.
Element x y z (fractional)
Tl (0.0000, 0.0000, 0.0000)  6 Te 3.48-3.54
Te (0.5568, 0.5568, 0.5568)  3 Pt 2.74
Te (0.7730, 0.7730, 0.7730)  3 Pt 2.74
Pt (0.1652, 0.1652, 0.1652)  6 Te 2.74

=====

[6]
# UTlTe3Pt

A geometry-optimized UTlTe3Pt structure (PBE-GGA, Alexandria via LeMat-Bulk).

Density of states at the Fermi level, states/eV/f.u.: 5.9
Calculated density, g cm⁻³: 8.8
Formation energy without anion corrections, eV per formula unit: -2.88
Final energy, eV for the cell shown: -64.004
Space-group type: P2_1/m

abc: 9.6801 4.1545 10.3968
angles: 90.00 113.45 90.00
With the nearest neighbours (Å) after each atom.
Element x y z (fractional)
U (0.1975, 0.2500, 0.1710)  6 Te 3.00-3.10, 2 Pt 3.10
U (0.8025, 0.7500, 0.8290)  6 Te 3.00-3.10, 2 Pt 3.10
Tl (0.2810, 0.7500, 0.7611)  7 Te 3.45-3.59
Tl (0.7190, 0.2500, 0.2389)  7 Te 3.45-3.59
Te (0.0455, 0.2500, 0.8464)  3 U 3.09-3.10, 2 Tl 3.45
Te (0.2873, 0.2500, 0.4821)  3 Pt 2.71-2.80, 1 U 3.00
Te (0.4079, 0.7500, 0.1279)  1 Pt 2.71
Te (0.5921, 0.2500, 0.8721)  1 Pt 2.71
Te (0.7127, 0.7500, 0.5179)  3 Pt 2.71-2.80, 1 U 3.00
Te (0.9545, 0.7500, 0.1536)  3 U 3.09-3.10, 2 Tl 3.45
Pt (0.3979, 0.7500, 0.3849)  4 Te 2.71-2.80
Pt (0.6021, 0.2500, 0.6151)  4 Te 2.71-2.80